The following is a PBE calculation of CsGaHg3 after structural relaxation, from Alexandria.

## Properties
The space group is Pm-3m (221). The total energy comes out at -1.0959 eV/atom. For the energy of formation from the pure elements, the calculation gives -138.8 meV/atom. The total magnetization is 0.00 μB per cell. The offset from the most stable computed form comes out at 0 meV per atom.

a = 5.5640 Å, b = 5.5640 Å, c = 5.5640 Å
α = 90.00°, β = 90.00°, γ = 90.00°
With the nearest neighbours (Å) after each atom.
Fractional coordinates of all 5 atoms:
Cs1 0.0000 0.0000 0.0000  12 Hg 3.93
Ga1 0.5000 0.5000 0.5000  6 Hg 2.78
Hg1 0.0000 0.5000 0.5000  2 Ga 2.78
Hg2 0.5000 0.0000 0.5000  2 Ga 2.78
Hg3 0.5000 0.5000 0.0000  2 Ga 2.78

=====

The following is a PBE calculation of Sc2H2I5 after structural relaxation, from Alexandria.

## Properties
The space group is Fmmm (69). The total energy comes out at -3.3590 eV/atom. The total magnetization is 3.04 μB per cell.

a = 10.7442 Å, b = 9.3009 Å, c = 7.7580 Å
α = 77.49°, β = 57.68°, γ = 44.82°
With the nearest neighbours (Å) after each atom.
Fractional coordinates of all 9 atoms:
Sc1 0.2104 0.7896 0.2104  5 I 2.81-2.88
Sc2 0.7896 0.2104 0.7896  5 I 2.81-2.88
H1 0.2391 0.2391 0.7609  2 H 3.97, 5 I 4.03-4.37
H2 0.7609 0.7609 0.2391  2 H 3.97, 5 I 4.03-4.37
I1 0.0000 0.0000 0.0000  2 Sc 2.81
I2 0.1200 0.1200 0.3800  2 Sc 2.88
I3 0.3800 0.3800 0.1200  2 Sc 2.88
I4 0.6200 0.6200 0.8800  2 Sc 2.88
I5 0.8800 0.8800 0.6200  2 Sc 2.88

=====

Which of these has the lowest total magnetization?
CsGaHg3